1.
Density functional theory data (PBE) for KNa2WS4 after structural relaxation. Values from VASP.

```
&SYSTEM
  ibrav = 0, nat = 8, ntyp = 4
/
ATOMIC_SPECIES
K 39.10 K.upf
Na 22.99 Na.upf
W 183.84 W.upf
S 32.06 S.upf
CELL_PARAMETERS angstrom
7.257 0.268 0.000
-0.335 7.255 0.000
-3.461 -3.761 4.192
ATOMIC_POSITIONS angstrom
K 3.461 3.761 4.190
Na 3.629 0.134 2.129
Na -0.167 3.627 2.129
W 0.000 0.000 4.184
S 1.258 1.367 2.911
S 2.088 5.025 1.255
S 4.835 2.498 1.255
S -1.258 -1.367 2.911
```

ΔE_f (raw)   -0.886 eV/atom
Raw total energy   -5.036 eV per atom
Density of states at the Fermi level   3.8 states/eV/f.u.
Symmetry   No. 42


2.
Density functional theory data (PBE) for NaIn2Hg6 after structural relaxation. Values from VASP.

```
&SYSTEM
  ibrav = 0, nat = 9, ntyp = 3
/
ATOMIC_SPECIES
Na 22.99 Na.upf
In 114.82 In.upf
Hg 200.59 Hg.upf
CELL_PARAMETERS angstrom
5.308 -0.008 -0.008
2.622 7.600 2.941
2.622 3.272 7.464
ATOMIC_POSITIONS angstrom
Na 5.308 -0.008 -0.008
In 2.627 4.262 4.079
In 7.926 6.602 6.319
Hg 5.260 8.698 6.139
Hg 5.293 2.166 4.259
Hg 5.293 4.350 1.977
Hg 5.276 4.358 6.321
Hg 5.276 6.506 4.076
Hg 5.260 6.514 8.420
```

Formation energy   -22 kJ/mol of formula units
Raw total energy   -0.981 eV per atom
Density of states at the Fermi level   3.4 states/eV/f.u.
Symmetry   No. 12